Entry 1:
# Dy2LuFeCo8

An optimized crystal structure of Dy2LuFeCo8 (PBE, the Open Quantum Materials Database).

Cell lengths 4.9789, 4.9789, 24.0165 Å; angles 90.00, 90.00, 120.00 degrees
Space group R-3m (No. 166, hexagonal axes)
Symmetry-distinct sites (fractional):
Dy1 0.0000 0.0000 0.1390 [6 per cell]
Lu1 0.0000 0.0000 0.0000 [3 per cell]
Fe1 0.0000 0.0000 0.5000 [3 per cell]
Co1 0.0000 0.0000 0.3340 [6 per cell]
Co2 0.0023 0.5012 0.9187 [18 per cell]

Output
The calculation puts the calculated formation energy at -17.6 kJ per mole of atoms. The calculated volume is 515.6 Å³/cell.


Entry 2:
# HfFeNiPb

An optimized crystal structure of HfFeNiPb (PBE, the Open Quantum Materials Database).

Cell lengths 6.4873, 6.4873, 6.4873 Å; angles 90.00, 90.00, 90.00 degrees
Space group F-43m (No. 216)
Symmetry-distinct sites (fractional):
Hf1 0.0000 0.0000 0.0000 [4 per cell]
Fe1 0.0000 0.0000 0.5000 [4 per cell]
Ni1 0.2500 0.2500 0.7500 [4 per cell]
Pb1 0.2500 0.2500 0.2500 [4 per cell]

Output
For the polymorph energy (0 for the lowest one), the calculation gives 292.3 meV per atom. The calculated volume is 273.0 Å³/cell.


Entry 3:
# YFe2Tc

An optimized crystal structure of YFe2Tc (PBE, the Open Quantum Materials Database).

Cell lengths 6.2692, 6.2692, 6.2692 Å; angles 90.00, 90.00, 90.00 degrees
Space group F-43m (No. 216)
Symmetry-distinct sites (fractional):
Y1 0.0000 0.0000 0.0000 [4 per cell]
Fe1 0.0000 0.0000 0.5000 [4 per cell]
Fe2 0.2500 0.2500 0.2500 [4 per cell]
Tc1 0.2500 0.2500 0.7500 [4 per cell]

Output
The calculation puts the calculated formation energy at 38.5 kJ per mole of atoms. The calculated volume is 246.4 Å³/cell.


Entry 4:
# Dy2Ni4B4Ir

An optimized crystal structure of Dy2Ni4B4Ir (PBE, the Open Quantum Materials Database).

Cell lengths 4.9949, 9.3396, 11.5576 Å; angles 90.00, 90.00, 90.00 degrees
Space group Fmmm (No. 69)
Symmetry-distinct sites (fractional):
Dy1 0.0000 0.0000 0.1458 [8 per cell]
Ni1 0.2500 0.2500 0.0000 [8 per cell]
Ni2 0.2500 0.2500 0.2500 [8 per cell]
B1 0.0000 0.1631 0.3681 [16 per cell]
Ir1 0.0000 0.0000 0.5000 [4 per cell]

Output
As for the calculated total energy: -6.591 eV per atom. The calculated volume is 539.2 Å³/cell.


Entry 5:
# BIr5

An optimized crystal structure of BIr5 (PBE, the Open Quantum Materials Database).

Cell lengths 5.0379, 5.0379, 4.5028 Å; angles 90.00, 90.00, 120.00 degrees
Space group P6/mmm (No. 191)
Symmetry-distinct sites (fractional):
B1 0.0000 0.0000 0.0000 [1 per cell]
Ir1 0.0000 0.5000 0.5000 [3 per cell]
Ir2 0.3333 0.6667 0.0000 [2 per cell]

Output
As for the calculated total energy: -7.241 eV per atom. The calculated volume is 99.0 Å³/cell.


Entry 6:
# GeMoPt2

An optimized crystal structure of GeMoPt2 (PBE, the Open Quantum Materials Database).

Cell lengths 6.3072, 6.3072, 6.3072 Å; angles 90.00, 90.00, 90.00 degrees
Space group F-43m (No. 216)
Symmetry-distinct sites (fractional):
Ge1 0.0000 0.0000 0.0000 [4 per cell]
Mo1 0.2500 0.2500 0.2500 [4 per cell]
Pt1 0.0000 0.0000 0.5000 [4 per cell]
Pt2 0.2500 0.2500 0.7500 [4 per cell]

Output
As for the calculated total energy: -6.964 eV per atom. The calculated volume is 250.9 Å³/cell.


Entry 7:
# TcBiOs2

An optimized crystal structure of TcBiOs2 (PBE, the Open Quantum Materials Database).

Cell lengths 6.4543, 6.4543, 6.4543 Å; angles 90.00, 90.00, 90.00 degrees
Space group F-43m (No. 216)
Symmetry-distinct sites (fractional):
Tc1 0.0000 0.0000 0.0000 [4 per cell]
Bi1 0.2500 0.2500 0.7500 [4 per cell]
Os1 0.0000 0.0000 0.5000 [4 per cell]
Os2 0.2500 0.2500 0.2500 [4 per cell]

Output
As for the calculated total energy: -8.287 eV per atom. The calculated volume is 268.9 Å³/cell.


Entry 8:
# AlSiIr

An optimized crystal structure of AlSiIr (PBE, the Open Quantum Materials Database).

Cell lengths 5.7222, 5.7222, 5.7222 Å; angles 90.00, 90.00, 90.00 degrees
Space group F-43m (No. 216)
Symmetry-distinct sites (fractional):
Al1 0.0000 0.0000 0.0000 [4 per cell]
Si1 0.2500 0.2500 0.2500 [4 per cell]
Ir1 0.0000 0.0000 0.5000 [4 per cell]

Output
As for the calculated total energy: -6.299 eV per atom. The calculated volume is 187.4 Å³/cell.


Entry 9:
# HfNi2Au

An optimized crystal structure of HfNi2Au (PBE, the Open Quantum Materials Database).

Cell lengths 6.2385, 6.2385, 6.2385 Å; angles 90.00, 90.00, 90.00 degrees
Space group F-43m (No. 216)
Symmetry-distinct sites (fractional):
Hf1 0.0000 0.0000 0.0000 [4 per cell]
Ni1 0.0000 0.0000 0.5000 [4 per cell]
Ni2 0.2500 0.2500 0.2500 [4 per cell]
Au1 0.2500 0.2500 0.7500 [4 per cell]

Output
The calculation puts the calculated formation energy at -25.5 kJ per mole of atoms. The calculated volume is 242.8 Å³/cell.


Entry 10:
# NbFe

An optimized crystal structure of NbFe (PBE, the Open Quantum Materials Database).

Cell lengths 5.4059, 5.4059, 5.4059 Å; angles 90.00, 90.00, 90.00 degrees
Space group F-43m (No. 216)
Symmetry-distinct sites (fractional):
Nb1 0.0000 0.0000 0.0000 [4 per cell]
Fe1 0.2500 0.2500 0.2500 [4 per cell]

Output
The calculation puts the calculated formation energy at 140.9 kJ per mole of atoms. The calculated volume is 158.0 Å³/cell.


Entry 11:
# Ho2ErNiIr2Pb3

An optimized crystal structure of Ho2ErNiIr2Pb3 (PBE, the Open Quantum Materials Database).

Cell lengths 3.7416, 13.3913, 7.7328 Å; angles 90.00, 90.00, 90.00 degrees
Space group Amm2 (No. 38)
Symmetry-distinct sites (fractional):
Ho1 0.0000 0.2043 0.0000 [4 per cell]
Er1 0.0000 0.0000 0.3870 [2 per cell]
Ni1 0.0000 0.0000 0.7953 [2 per cell]
Ir1 0.5000 0.1660 0.2960 [4 per cell]
Pb1 0.5000 0.0000 0.0531 [2 per cell]
Pb2 0.5000 0.1289 0.6668 [4 per cell]

Output
As for the calculated total energy: -5.896 eV per atom. The calculated volume is 387.5 Å³/cell.


Entry 12:
# Y2ZrCo2

An optimized crystal structure of Y2ZrCo2 (PBE, the Open Quantum Materials Database).

Cell lengths 4.2834, 4.2834, 11.2423 Å; angles 90.00, 90.00, 90.00 degrees
Space group I4/mmm (No. 139)
Symmetry-distinct sites (fractional):
Y1 0.0000 0.5000 0.2500 [4 per cell]
Zr1 0.0000 0.0000 0.0000 [2 per cell]
Co1 0.0000 0.0000 0.4069 [4 per cell]

Output
The calculation puts the calculated formation energy at 25.7 kJ per mole of atoms. For the polymorph energy (0 for the lowest one), the calculation gives 0.0 meV per atom. The calculated volume is 206.3 Å³/cell.


Entry 13:
# Zr3Si

An optimized crystal structure of Zr3Si (PBE, the Open Quantum Materials Database).

Cell lengths 4.8556, 5.8354, 5.6803 Å; angles 90.00, 90.00, 90.00 degrees
Space group Pmmn (No. 59, origin choice 2)
Symmetry-distinct sites (fractional):
Zr1 0.2500 0.0014 0.1478 [4 per cell]
Zr2 0.2500 0.2500 0.6133 [2 per cell]
Si1 0.2500 0.7500 0.6774 [2 per cell]

Output
As for the calculated total energy: -8.118 eV per atom. The calculated volume is 160.9 Å³/cell.


Entry 14:
# BeCuSiIr

An optimized crystal structure of BeCuSiIr (PBE, the Open Quantum Materials Database).

Cell lengths 5.7736, 5.7736, 5.7736 Å; angles 90.00, 90.00, 90.00 degrees
Space group F-43m (No. 216)
Symmetry-distinct sites (fractional):
Be1 0.0000 0.0000 0.0000 [4 per cell]
Cu1 0.0000 0.0000 0.5000 [4 per cell]
Si1 0.2500 0.2500 0.2500 [4 per cell]
Ir1 0.2500 0.2500 0.7500 [4 per cell]

Output
For the polymorph energy (0 for the lowest one), the calculation gives 381.2 meV per atom. The calculated volume is 192.5 Å³/cell.


Entry 15:
# Ga2HgSe2S2

An optimized crystal structure of Ga2HgSe2S2 (PBE, the Open Quantum Materials Database).

Cell lengths 8.0081, 10.6859, 5.6874 Å; angles 90.00, 133.55, 90.00 degrees
Space group C2 (No. 5)
Symmetry-distinct sites (fractional):
Ga1 0.0000 0.0000 0.0000 [2 per cell]
Ga2 0.0000 0.2408 0.5000 [2 per cell]
Hg1 0.0000 0.7445 0.5000 [2 per cell]
Se1 0.2183 0.3850 0.9621 [4 per cell]
S1 0.2218 0.1085 0.4862 [4 per cell]

Output
As for the calculated total energy: -3.606 eV per atom. The calculated volume is 352.7 Å³/cell.


Entry 16:
# CsBaMo

An optimized crystal structure of CsBaMo (PBE, the Open Quantum Materials Database).

Cell lengths 8.2986, 8.2986, 8.2986 Å; angles 90.00, 90.00, 90.00 degrees
Space group F-43m (No. 216)
Symmetry-distinct sites (fractional):
Cs1 0.0000 0.0000 0.0000 [4 per cell]
Ba1 0.2500 0.2500 0.7500 [4 per cell]
Mo1 0.2500 0.2500 0.2500 [4 per cell]

Output
As for the calculated total energy: -2.719 eV per atom. The calculated volume is 571.5 Å³/cell.


Entry 17:
# Tb3ThSb4

An optimized crystal structure of Tb3ThSb4 (PBE, the Open Quantum Materials Database).

Cell lengths 8.8539, 12.5226, 4.4376 Å; angles 90.00, 90.00, 90.00 degrees
Space group Cmmm (No. 65)
Symmetry-distinct sites (fractional):
Tb1 0.0000 0.0000 0.0000 [2 per cell]
Tb2 0.2500 0.2500 0.5000 [4 per cell]
Th1 0.0000 0.5000 0.0000 [2 per cell]
Sb1 0.0000 0.2478 0.0000 [4 per cell]
Sb2 0.2449 0.0000 0.5000 [4 per cell]

Output
As for the calculated total energy: -5.825 eV per atom. The calculated volume is 492.0 Å³/cell.


Entry 18:
# Li4GaCu2Pd

An optimized crystal structure of Li4GaCu2Pd (PBE, the Open Quantum Materials Database).

Cell lengths 4.2337, 4.2337, 5.9791 Å; angles 90.00, 90.00, 90.00 degrees
Space group P-4m2 (No. 115)
Symmetry-distinct sites (fractional):
Li1 0.0000 0.0000 0.0000 [1 per cell]
Li2 0.0000 0.5000 0.2454 [2 per cell]
Li3 0.5000 0.5000 0.5000 [1 per cell]
Ga1 0.0000 0.0000 0.5000 [1 per cell]
Cu1 0.0000 0.5000 0.7391 [2 per cell]
Pd1 0.5000 0.5000 0.0000 [1 per cell]

Output
As for the calculated total energy: -3.158 eV per atom. The calculated volume is 107.2 Å³/cell.


Entry 19:
# DyHoAsO

An optimized crystal structure of DyHoAsO (PBE, the Open Quantum Materials Database).

Cell lengths 4.3201, 4.3201, 8.7318 Å; angles 90.00, 90.00, 90.00 degrees
Space group P4/nmm (No. 129, origin choice 2)
Symmetry-distinct sites (fractional):
Dy1 0.2500 0.7500 0.0000 [2 per cell]
Ho1 0.2500 0.2500 0.4010 [2 per cell]
As1 0.2500 0.2500 0.7920 [2 per cell]
O1 0.2500 0.7500 0.5000 [2 per cell]

Output
For the polymorph energy (0 for the lowest one), the calculation gives 95.9 meV per atom. The calculated volume is 163.0 Å³/cell.


Entry 20:
# Cu2Ag

An optimized crystal structure of Cu2Ag (PBE, the Open Quantum Materials Database).

Cell lengths 13.7024, 2.7679, 6.6386 Å; angles 90.00, 96.12, 90.00 degrees
Space group Cm (No. 8)
Symmetry-distinct sites (fractional):
Cu1 0.0000 0.0000 0.0000 [2 per cell]
Cu2 0.0587 0.5000 0.3102 [2 per cell]
Cu3 0.1652 0.5000 0.0136 [2 per cell]
Cu4 0.2665 0.5000 0.7139 [2 per cell]
Cu5 0.3332 0.0000 0.0114 [2 per cell]
Cu6 0.4051 0.5000 0.3057 [2 per cell]
Ag1 0.1025 0.0000 0.6645 [2 per cell]
Ag2 0.2362 0.0000 0.3526 [2 per cell]
Ag3 0.4240 0.0000 0.6567 [2 per cell]

Output
The calculation puts the calculated formation energy at 8.5 kJ per mole of atoms. For the polymorph energy (0 for the lowest one), the calculation gives 42.8 meV per atom. The calculated volume is 250.3 Å³/cell.


Entry 21:
# LuFeSiMo

An optimized crystal structure of LuFeSiMo (PBE, the Open Quantum Materials Database).

Cell lengths 6.3525, 6.3525, 6.3525 Å; angles 90.00, 90.00, 90.00 degrees
Space group F-43m (No. 216)
Symmetry-distinct sites (fractional):
Lu1 0.0000 0.0000 0.0000 [4 per cell]
Fe1 0.0000 0.0000 0.5000 [4 per cell]
Si1 0.2500 0.2500 0.2500 [4 per cell]
Mo1 0.2500 0.2500 0.7500 [4 per cell]

Output
For the polymorph energy (0 for the lowest one), the calculation gives 193.7 meV per atom. The calculated volume is 256.3 Å³/cell.


Entry 22:
# Ba4USe6

An optimized crystal structure of Ba4USe6 (PBE, the Open Quantum Materials Database).

Cell lengths 12.7679, 12.7679, 15.8793 Å; angles 90.00, 90.00, 120.00 degrees
Space group R-3c (No. 167, hexagonal axes)
Symmetry-distinct sites (fractional):
Ba1 0.0000 0.0000 0.2500 [6 per cell]
Ba2 0.0000 0.3752 0.2500 [18 per cell]
U1 0.0000 0.0000 0.0000 [6 per cell]
Se1 0.0282 0.1937 0.3955 [36 per cell]

Output
As for the calculated total energy: -5.443 eV per atom. The calculated volume is 2241.8 Å³/cell.


Entry 23:
# NaTbZnS3

An optimized crystal structure of NaTbZnS3 (PBE, the Open Quantum Materials Database).

Cell lengths 3.9187, 12.9745, 10.6148 Å; angles 90.00, 90.00, 90.00 degrees
Space group Cmcm (No. 63)
Symmetry-distinct sites (fractional):
Na1 0.0000 0.2489 0.2500 [4 per cell]
Tb1 0.0000 0.0000 0.0000 [4 per cell]
Zn1 0.0000 0.4665 0.7500 [4 per cell]
S1 0.0000 0.0767 0.7500 [4 per cell]
S2 0.0000 0.3648 0.5719 [8 per cell]

Output
For the polymorph energy (0 for the lowest one), the calculation gives 1.2 meV per atom. The calculated volume is 539.7 Å³/cell.


Entry 24:
# TmLuNO

An optimized crystal structure of TmLuNO (PBE, the Open Quantum Materials Database).

Cell lengths 4.7389, 3.8707, 6.7312 Å; angles 90.00, 90.00, 90.00 degrees
Space group Pmma (No. 51)
Symmetry-distinct sites (fractional):
Tm1 0.2500 0.0000 0.1666 [2 per cell]
Lu1 0.2500 0.5000 0.6664 [2 per cell]
N1 0.2500 0.0000 0.8330 [2 per cell]
O1 0.2500 0.5000 0.3320 [2 per cell]

Output
For the polymorph energy (0 for the lowest one), the calculation gives 109.2 meV per atom. The calculated volume is 123.5 Å³/cell.


Entry 25:
# SmThIr4

An optimized crystal structure of SmThIr4 (PBE, the Open Quantum Materials Database).

Cell lengths 7.6874, 7.6874, 7.6874 Å; angles 90.00, 90.00, 90.00 degrees
Space group F-43m (No. 216)
Symmetry-distinct sites (fractional):
Sm1 0.0000 0.0000 0.0000 [4 per cell]
Th1 0.2500 0.2500 0.2500 [4 per cell]
Ir1 0.1253 0.1253 0.6253 [16 per cell]

Output
The calculation puts the calculated formation energy at -76.3 kJ per mole of atoms. The calculated volume is 454.3 Å³/cell.


Entry 26:
# Cs2KMoI6

An optimized crystal structure of Cs2KMoI6 (PBE, the Open Quantum Materials Database).

Cell lengths 12.3963, 12.3963, 12.3963 Å; angles 90.00, 90.00, 90.00 degrees
Space group Fm-3m (No. 225)
Symmetry-distinct sites (fractional):
Cs1 0.2500 0.2500 0.2500 [8 per cell]
K1 0.0000 0.0000 0.0000 [4 per cell]
Mo1 0.0000 0.0000 0.5000 [4 per cell]
I1 0.0000 0.0000 0.2726 [24 per cell]

Output
As for the calculated total energy: -3.256 eV per atom. The calculated volume is 1904.9 Å³/cell.